A plane-wave DFT calculation with GGA-PBEsol was carried out for a relaxed structure of ZrZnCu2.

DFT total energy: -38.8 eV per cell
Magnetic moment: 0.00 μB/cell
Formation energy from the elements: -0.01 eV/atom

Lattice parameters (Å, degrees): 8.5271 2.7759 5.0973 90.00 100.94 90.00
Last column: nearest neighbours and their distance in Å.
Sites, in units of the cell vectors:
Zr  0.0000  0.0000  0.0000  7 Cu 2.69-2.93, 2 Zr 2.78, 3 Zn 2.84-2.89
Zr  0.5000  0.5000  0.0000  7 Cu 2.69-2.93, 2 Zr 2.78, 3 Zn 2.84-2.89
Zn  0.2643  0.5000  0.3247  5 Cu 2.51-2.56, 2 Zn 2.78
Zn  0.7643  0.0000  0.3247  5 Cu 2.51-2.56, 2 Zn 2.78
Cu  0.0052  0.5000  0.5077  3 Zn 2.51-2.56, 5 Cu 2.52-2.78
Cu  0.2407  0.0000  0.7280  2 Zn 2.52, 5 Cu 2.52-2.78, 3 Zr 2.69-2.75
Cu  0.5052  0.0000  0.5077  3 Zn 2.51-2.56, 5 Cu 2.52-2.78
Cu  0.7407  0.5000  0.7280  2 Zn 2.52, 5 Cu 2.52-2.78, 3 Zr 2.69-2.75